Version 1
Compound: LiDyHg2
Source: the Alexandria database
Functional: GGA-PBE
Structure: relaxed

a b c (Å): 5.0171 5.0171 5.0171
angles (deg): 60.00 60.00 60.00
Last column: nearest neighbours and their distance in Å.
Sites, in units of the cell vectors:
Hg  0.7500  0.7500  0.7500  4 Dy 3.07, 4 Li 3.07
Hg  0.2500  0.2500  0.2500  4 Dy 3.07, 4 Li 3.07
Li  0.0000  0.0000  0.0000  8 Hg 3.07
Dy  0.5000  0.5000  0.5000  8 Hg 3.07

Values from the calculation:
Calculated volume   22.3 Å³/atom
Magnetization   0.000 μB per formula unit
Symmetry   Fm-3m



Version 2
Compound: LiDyHg2
Source: the Alexandria database
Functional: GGA-PBE
Structure: relaxed

a b c (Å): 3.8355 3.8355 7.9823
angles (deg): 76.10 76.10 60.00
Last column: nearest neighbours and their distance in Å.
Sites, in units of the cell vectors:
Li  0.4985  0.4985  0.5044  6 Hg 2.74-2.78
Hg  0.0954  0.0954  0.7139  3 Li 2.74
Hg  0.2385  0.2385  0.2845  3 Li 2.78
Dy  0.6676  0.6676  0.9972  6 Hg 3.10-3.12

Values from the calculation:
Calculated volume   24.4 Å³/atom
Magnetization   0.000 μB per formula unit
Symmetry   R3m



Referenced to the most stable arrangement, the calculated values in meV/atom are version 1 0; version 2 172.



Version 1
Compound: Li2DyHg
Source: the Alexandria database
Functional: GGA-PBE
Structure: relaxed

a b c (Å): 3.5603 3.5603 6.7980
angles (deg): 90.00 90.00 90.00
Last column: nearest neighbours and their distance in Å.
Sites, in units of the cell vectors:
Li  0.0000  0.0000  0.1975  1 Li 2.69, 4 Hg 2.85
Li  0.0000  0.0000  0.8025  1 Li 2.69, 4 Hg 2.85
Dy  0.5000  0.5000  0.5000  8 Li 3.25, 2 Hg 3.40, 4 Dy 3.56
Hg  0.5000  0.5000  0.0000  8 Li 2.85

Values from the calculation:
Calculated volume   21.5 Å³/atom
Magnetization   0.066 μB per formula unit
Symmetry   P4/mmm



Version 2
Compound: Li2DyHg
Source: the Alexandria database
Functional: GGA-PBE
Structure: relaxed

a b c (Å): 4.7980 4.7980 4.7980
angles (deg): 60.00 60.00 60.00
Last column: nearest neighbours and their distance in Å.
Sites, in units of the cell vectors:
Hg  0.5000  0.5000  0.5000  8 Li 2.94
Dy  0.0000  0.0000  0.0000  8 Li 2.94
Li  0.7500  0.7500  0.7500  4 Hg 2.94, 4 Dy 2.94
Li  0.2500  0.2500  0.2500  4 Hg 2.94, 4 Dy 2.94

Values from the calculation:
Calculated volume   19.5 Å³/atom
Magnetization   0.000 μB per formula unit
Symmetry   Fm-3m



Version 3
Compound: Li2DyHg
Source: the Alexandria database
Functional: GGA-PBE
Structure: relaxed

a b c (Å): 4.7263 5.6287 6.7034
angles (deg): 90.00 90.00 90.00
Last column: nearest neighbours and their distance in Å.
Sites, in units of the cell vectors:
Hg  0.0000  0.5000  0.2559  6 Li 2.83-2.91, 4 Dy 3.05-3.15
Hg  0.5000  0.0000  0.7441  6 Li 2.83-2.91, 4 Dy 3.05-3.15
Li  0.5000  0.2564  0.1075  4 Li 2.74-2.89, 3 Hg 2.83-2.91
Li  0.0000  0.7564  0.8925  4 Li 2.74-2.89, 3 Hg 2.83-2.91
Li  0.5000  0.7436  0.1075  4 Li 2.74-2.89, 3 Hg 2.83-2.91
Li  0.0000  0.2436  0.8925  4 Li 2.74-2.89, 3 Hg 2.83-2.91
Dy  0.0000  0.0000  0.4329  4 Hg 3.05-3.15, 2 Li 3.37
Dy  0.5000  0.5000  0.5671  4 Hg 3.05-3.15, 2 Li 3.37

Values from the calculation:
Calculated volume   22.3 Å³/atom
Magnetization   0.000 μB per formula unit
Symmetry   Pmmn



Referenced to the most stable arrangement, the calculated values in meV/atom are version 1 111; version 2 63; version 3 0.



Version 1
Compound: Dy2LuHg
Source: the Alexandria database
Functional: GGA-PBE
Structure: relaxed

a b c (Å): 5.3682 5.3682 5.3682
angles (deg): 60.00 60.00 60.00
Last column: nearest neighbours and their distance in Å.
Sites, in units of the cell vectors:
Dy  0.2500  0.2500  0.2500  4 Lu 3.29, 4 Hg 3.29
Dy  0.7500  0.7500  0.7500  4 Hg 3.29, 4 Lu 3.29
Hg  0.0000  0.0000  0.0000  8 Dy 3.29
Lu  0.5000  0.5000  0.5000  8 Dy 3.29

Values from the calculation:
Calculated volume   27.3 Å³/atom
Magnetization   0.065 μB per formula unit
Symmetry   Fm-3m



Version 2
Compound: Dy2LuHg
Source: the Alexandria database
Functional: GGA-PBE
Structure: relaxed

a b c (Å): 3.5756 3.5756 8.8605
angles (deg): 90.00 90.00 90.00
Last column: nearest neighbours and their distance in Å.
Sites, in units of the cell vectors:
Dy  0.0000  0.0000  0.2272  4 Hg 3.23, 4 Lu 3.50, 4 Dy 3.58
Dy  0.0000  0.0000  0.7728  4 Hg 3.23, 4 Lu 3.50, 4 Dy 3.58
Lu  0.5000  0.5000  0.5000  8 Dy 3.50, 4 Lu 3.58
Hg  0.5000  0.5000  0.0000  8 Dy 3.23, 4 Hg 3.58

Values from the calculation:
Calculated volume   28.3 Å³/atom
Magnetization   0.000 μB per formula unit
Symmetry   P4/mmm



Version 3
Compound: Dy2LuHg
Source: the Alexandria database
Functional: GGA-PBE
Structure: relaxed

a b c (Å): 3.8809 5.3333 5.3333
angles (deg): 90.00 90.00 90.00
Last column: nearest neighbours and their distance in Å.
Sites, in units of the cell vectors:
Dy  0.0000  0.5000  0.0000  4 Lu 3.30, 4 Hg 3.30
Dy  0.0000  0.0000  0.5000  4 Lu 3.30, 4 Hg 3.30
Hg  0.5000  0.0000  0.0000  8 Dy 3.30
Lu  0.5000  0.5000  0.5000  8 Dy 3.30

Values from the calculation:
Calculated volume   27.6 Å³/atom
Magnetization   0.000 μB per formula unit
Symmetry   P4/mmm



Version 4
Compound: Dy2LuHg
Source: the Alexandria database
Functional: GGA-PBE
Structure: relaxed

a b c (Å): 3.4727 3.4727 12.0338
angles (deg): 81.70 81.70 60.00
Last column: nearest neighbours and their distance in Å.
Sites, in units of the cell vectors:
Hg  0.0000  0.0000  0.0000  2 Dy 3.17, 6 Hg 3.47
Dy  0.0890  0.0890  0.7329  1 Hg 3.17, 3 Lu 3.41, 6 Dy 3.47
Dy  0.9110  0.9110  0.2671  1 Hg 3.17, 3 Lu 3.41, 6 Dy 3.47
Lu  0.5000  0.5000  0.5000  6 Dy 3.41, 6 Lu 3.47

Values from the calculation:
Calculated volume   31.0 Å³/atom
Magnetization   0.000 μB per formula unit
Symmetry   R-3m



Referenced to the most stable arrangement, the calculated values in meV/atom are version 1 153; version 2 0; version 3 94; version 4 319.